Run A
Computed, not measured: an optimized crystal structure of CuTe2NF at the PBE level of DFT.

Cell and atoms, written as extended XYZ:
```
5
Lattice="-1.707 -4.455 1.007 1.842 -1.655 -4.200 3.291 -0.858 1.782" Properties=species:S:1:pos:R:3 pbc="T T T"
N 1.645 -0.429 0.891
Cu 1.713 -3.484 -0.706
Te 0.921 -0.828 -2.100
Te -0.853 -2.227 0.503
F 0.000 0.000 0.000
```

- total magnetization (Bohr magnetons per cell) = 0.00

***

Run B
Computed, not measured: an optimized crystal structure of CuTe2NF at the PBE level of DFT.

Cell and atoms, written as extended XYZ:
```
5
Lattice="5.301 0.000 0.000 0.000 5.301 0.000 0.000 0.000 3.481" Properties=species:S:1:pos:R:3 pbc="T T T"
F 2.651 2.651 1.740
Cu 0.000 0.000 0.000
Te 0.000 2.651 0.000
Te 2.651 0.000 0.000
N 0.000 0.000 1.740
```

- total magnetization (Bohr magnetons per cell) = 1.36

***

Going by the energies, run B is most stable and the next is 634 meV per atom up.